First-principles (GGA-PBE) data for a relaxed BeHgNO crystal, as listed in the Open Quantum Materials Database.

```
BeHgNO
1.0
5.3587 0.0000 0.0000
0.0000 6.8446 0.0000
0.0000 0.0000 4.8649
Be Hg N O
4 4 4 4
Direct
0.0919 0.0994 0.0000
0.4081 0.0994 0.5000
0.5919 0.9006 0.0000
0.9081 0.9006 0.5000
0.0282 0.6630 0.0384
0.4718 0.6630 0.5384
0.5282 0.3370 0.0384
0.9718 0.3370 0.5384
0.1150 0.0546 0.6438
0.3850 0.0546 0.1438
0.6150 0.9454 0.6438
0.8850 0.9454 0.1438
0.0055 0.6680 0.5483
0.4945 0.6680 0.0483
0.5055 0.3320 0.5483
0.9945 0.3320 0.0483
```

## Properties
- offset from the most stable computed form (meV/atom) = 190.4
- E_tot (eV/atom) = -4.53

---

First-principles (GGA-PBE) data for a relaxed BeHgNO crystal, as listed in the Open Quantum Materials Database.

```
BeHgNO
1.0
3.1997 0.0000 0.0000
0.0000 3.1997 0.0000
0.0000 0.0000 9.2721
Be Hg N O
2 2 2 2
Direct
0.2500 0.7500 0.0000
0.7500 0.2500 0.0000
0.2500 0.2500 0.3055
0.7500 0.7500 0.6945
0.2500 0.2500 0.0807
0.7500 0.7500 0.9193
0.2500 0.7500 0.5000
0.7500 0.2500 0.5000
```

## Properties
- offset from the most stable computed form (meV/atom) = 386.2
- E_tot (eV/atom) = -4.34